Below is a relaxed structure of Hf4HgRh, with properties calculated at the PBE-GGA level.

a = 3.261 Å, b = 3.261 Å, c = 11.515 Å
α = 90.00°, β = 90.00°, γ = 90.00°
Sites, in units of the cell vectors:
Hf: 0.500 0.500 0.820
Hg: 0.000 0.000 0.000
Hf: 0.000 0.000 0.643
Hf: 0.500 0.500 0.180
Hf: 0.000 0.000 0.357
Rh: 0.500 0.500 0.500

## Properties
Formation energy from the elements: -389 meV per atom
E above lowest polymorph: 0.0000 eV/atom
Calculated total energy: -8.301 eV/atom